VASP calculation (meta-GGA SCAN) on a crystal of CaCdHg relaxed with PBEsol.

Summary:
Energy relative to the elements (eV per formula unit): -1.4
Symmetry: No. 44

Structure (CIF):
```
data_CaCdHg
_cell_length_a 5.598
_cell_length_b 5.598
_cell_length_c 5.598
_cell_angle_alpha 140.69
_cell_angle_beta 139.03
_cell_angle_gamma 58.08
_symmetry_space_group_name_H-M 'P 1'
_symmetry_Int_Tables_number 1
loop_
_symmetry_equiv_pos_as_xyz
'x,y,z'
loop_
_atom_site_label
_atom_site_fract_x
_atom_site_fract_y
_atom_site_fract_z
Ca1 0.000 0.000 0.000
Cd1 0.323 0.323 0.000
Hg1 0.672 0.672 0.000
```